Entry 1:
La4SiSbCl2 after structural relaxation, computed with PBE.

Cell: 4.4160 7.2957 7.8457 Å, 69.84 90.00 90.00°
Closest atoms and distances in Å follow each position.
Sites, in units of the cell vectors:
La 0.5000 0.7387 0.2732  2 Si 2.99, 3 Cl 3.02-3.21, 1 Sb 3.19
La 0.0000 0.7502 0.7274  1 Si 2.96, 3 Cl 3.02-3.25, 2 Sb 3.18
La 0.0000 0.2498 0.2726  1 Si 2.96, 3 Cl 3.02-3.25, 2 Sb 3.18
La 0.5000 0.2613 0.7267  2 Si 2.99, 3 Cl 3.02-3.21, 1 Sb 3.19
Sb 0.5000 0.5000 0.0000  6 La 3.18-3.19
Cl 0.0000 0.0000 0.0000  6 La 3.21-3.25
Cl 0.5000 0.0000 0.5000  6 La 3.02
Si 0.0000 0.5000 0.5000  6 La 2.96-2.99

Output
* formation energy (no corrections): -1.3604 eV/atom
* total moment: 0.00 μB/atom
* E_tot: -43.831 eV per cell
* SG: P2/m

Entry 2:
LaTcSbCl2 after structural relaxation, computed with PBE.

Cell: 5.3192 6.6732 5.3192 Å, 90.00 90.00 90.00°
Closest atoms and distances in Å follow each position.
Sites, in units of the cell vectors:
Tc 0.5000 0.5000 0.5000  4 Sb 3.76
Cl 0.5000 0.0000 0.0000  2 La 2.66
Cl 0.0000 0.0000 0.5000  2 La 2.66
Sb 0.0000 0.5000 0.0000  2 La 3.34
La 0.0000 0.0000 0.0000  4 Cl 2.66

Output
* formation energy (no corrections): -0.1344 eV/atom
* total moment: 0.98 μB/atom
* E_tot: -23.781 eV per cell
* SG: P4/mmm

Entry 3:
LaSb2TeCl after structural relaxation, computed with PBE.

Cell: 5.2848 5.2848 5.5444 Å, 90.00 90.00 90.00°
Closest atoms and distances in Å follow each position.
Sites, in units of the cell vectors:
Sb 0.0000 0.5000 0.0000  2 Cl 2.64
Sb 0.5000 0.0000 0.0000  2 Cl 2.64
Te 0.0000 0.0000 0.5000  2 Cl 2.77
Cl 0.0000 0.0000 0.0000  4 Sb 2.64, 2 Te 2.77
La 0.5000 0.5000 0.5000  4 Te 3.74, 8 Sb 3.83

Output
* formation energy (no corrections): -0.1167 eV/atom
* E above lowest polymorph: 0.0000 eV per atom
* total moment: 0.00 μB/atom
* E_tot: -18.744 eV per cell
* SG: P4/mmm

| no. | V (Å³/f.u.) | N(E_F) (states/eV/cell) |
| --- | --- | --- |
| 1 | 237.28 | 4.5 |
| 2 | 188.81 | 3.1 |
| 3 | 154.85 | 4.5 |